[1]
Computed, not measured: a relaxed structure of LaYSn at the PBE-GGA level of DFT.

Output
crystal system = tetragonal
formation energy from the elements = -0.47 eV/atom
excess energy over the best structure of this formula in the dataset = 0.183 eV per atom

Cell lengths 4.191, 4.191, 5.865 Å; angles 110.93, 110.93, 90.00 degrees
Fractional positions:
Y 0.967 0.967 0.934
Sn 0.609 0.609 0.219
La 0.274 0.274 0.547


[2]
Computed, not measured: a relaxed structure of SrFeCoGe2 at the PBE-GGA level of DFT.

Output
crystal system = tetragonal
formation energy from the elements = -0.35 eV/atom

Cell lengths 4.093, 4.093, 6.075 Å; angles 109.69, 109.69, 90.00 degrees
Last column: magnetic moment on the atom in μB.
Fractional positions:
Fe 0.750 0.250 0.500  0.80
Ge 0.643 0.643 0.286  -0.02
Sr 0.000 0.000 0.000  0.00
Ge 0.357 0.357 0.714  -0.02
Co 0.250 0.750 0.500  -0.30


[3]
Computed, not measured: a relaxed structure of Ge2BAs at the PBE-GGA level of DFT.

Output
crystal system = cubic
formation energy from the elements = 1.03 eV/atom
excess energy over the best structure of this formula in the dataset = 0.959 eV per atom

Cell lengths 4.537, 4.537, 4.537 Å; angles 60.00, 60.00, 60.00 degrees
Fractional positions:
B 0.000 0.000 0.000
Ge 0.750 0.750 0.750
Ge 0.250 0.250 0.250
As 0.500 0.500 0.500


[4]
Computed, not measured: a relaxed structure of SrY2HfTl at the PBE-GGA level of DFT.

Output
crystal system = tetragonal
formation energy from the elements = 0.41 eV/atom

Cell lengths 5.576, 5.784, 5.576 Å; angles 90.00, 90.00, 90.00 degrees
Fractional positions:
Tl 0.000 0.500 0.000
Sr 0.500 0.500 0.500
Y 0.000 0.000 0.500
Hf 0.000 0.000 0.000
Y 0.500 0.000 0.000


[5]
Computed, not measured: a relaxed structure of ScNi2Os at the PBE-GGA level of DFT.

Output
crystal system = cubic
formation energy from the elements = 0.04 eV/atom
excess energy over the best structure of this formula in the dataset = 0.193 eV per atom

Cell lengths 4.304, 4.304, 4.304 Å; angles 60.00, 60.00, 60.00 degrees
Last column: magnetic moment on the atom in μB.
Fractional positions:
Os 0.500 0.500 0.500  0.96
Sc 0.750 0.750 0.750  0.05
Ni 0.000 0.000 0.000  0.28
Ni 0.250 0.250 0.250  0.92


[6]
Computed, not measured: a relaxed structure of RbCu2Se at the PBE-GGA level of DFT.

Output
crystal system = tetragonal
formation energy (no corrections) = -0.49 eV per formula unit

Cell lengths 5.127, 5.127, 9.172 Å; angles 73.77, 73.77, 90.00 degrees
Fractional positions:
Rb 0.750 0.250 0.500
Cu 0.375 0.125 0.250
Cu 0.375 0.625 0.750
Rb 0.000 0.000 0.000
Se 0.250 0.750 0.500
Cu 0.875 0.625 0.750
Se 0.500 0.500 0.000
Cu 0.375 0.625 0.250


| no. | electronic total energy (hartree per atom) |
| --- | --- |
| 1 | -0.206 |
| 2 | -0.208 |
| 3 | -0.151 |
| 4 | -0.183 |
| 5 | -0.266 |
| 6 | -0.121 |